[1]
# Sc3MnCo, relaxed, DFT PBE-GGA
data_Sc3MnCo
_chemical_formula_sum 'Sc3 Mn1 Co1'
_cell_length_a 4.799
_cell_length_b 4.799
_cell_length_c 4.799
_cell_angle_alpha 90.00
_cell_angle_beta 90.00
_cell_angle_gamma 90.00
_symmetry_space_group_name_H-M 'P m -3 m'
_symmetry_Int_Tables_number 221
_symmetry_space_group_name_Hall '-P 4 2 3'
loop_
_atom_site_label
_atom_site_fract_x
_atom_site_fract_y
_atom_site_fract_z
Sc1 0.000 0.000 0.500
Mn1 0.500 0.500 0.500
Co1 0.000 0.000 0.000
# DFT formation energy	0.1844	eV per atom

[2]
# Pm2Pr3Nd7, relaxed, DFT PBE-GGA
data_Pm2Pr3Nd7
_chemical_formula_sum 'Pm2 Pr3 Nd7'
_cell_length_a 6.222
_cell_length_b 5.713
_cell_length_c 12.665
_cell_angle_alpha 90.00
_cell_angle_beta 91.98
_cell_angle_gamma 90.00
_symmetry_space_group_name_H-M 'P 1 2/m 1'
_symmetry_Int_Tables_number 10
loop_
_symmetry_equiv_pos_as_xyz
'x,y,z'
'-x,-y,-z'
'-x,y,-z'
'x,-y,z'
loop_
_atom_site_label
_atom_site_fract_x
_atom_site_fract_y
_atom_site_fract_z
Pm1 0.114 0.000 0.282
Pr1 0.000 0.000 0.000
Pr2 0.428 0.500 0.343
Nd1 0.057 0.500 0.818
Nd2 0.260 0.000 0.553
Nd3 0.418 0.000 0.832
Nd4 0.500 0.500 0.000
# DFT formation energy	0.2690	eV per atom

[3]
# Ac2DyPaN5, relaxed, DFT PBE-GGA
data_Ac2DyPaN5
_chemical_formula_sum 'Ac2 Dy1 Pa1 N5'
_cell_length_a 4.230
_cell_length_b 4.230
_cell_length_c 9.233
_cell_angle_alpha 90.00
_cell_angle_beta 90.00
_cell_angle_gamma 90.00
_symmetry_space_group_name_H-M 'P 4/m m m'
_symmetry_Int_Tables_number 123
_symmetry_space_group_name_Hall '-P 4 2'
loop_
_atom_site_label
_atom_site_fract_x
_atom_site_fract_y
_atom_site_fract_z
Ac1 0.000 0.000 0.229
Dy1 0.500 0.500 0.500
Pa1 0.500 0.500 0.000
N1 0.000 0.000 0.500
N2 0.000 0.500 0.000
N3 0.500 0.500 0.256
# formation energy from raw total energies	-1.134	eV per atom

[4]
# FeTc2Cl, relaxed, DFT PBE-GGA
data_FeTc2Cl
_chemical_formula_sum 'Fe4 Tc8 Cl4'
_cell_length_a 6.144
_cell_length_b 6.144
_cell_length_c 6.144
_cell_angle_alpha 90.00
_cell_angle_beta 90.00
_cell_angle_gamma 90.00
_symmetry_space_group_name_H-M 'F -4 3 m'
_symmetry_Int_Tables_number 216
_symmetry_space_group_name_Hall 'F -4 2 3'
loop_
_atom_site_label
_atom_site_fract_x
_atom_site_fract_y
_atom_site_fract_z
Fe1 0.000 0.000 0.000
Tc1 0.000 0.000 0.500
Tc2 0.250 0.250 0.250
Cl1 0.250 0.250 0.750
# formation energy from raw total energies	0.905	eV per atom

[5]
# KPtAu, relaxed, DFT PBE-GGA
data_KPtAu
_chemical_formula_sum 'K2 Pt2 Au2'
_cell_length_a 2.902
_cell_length_b 2.902
_cell_length_c 14.826
_cell_angle_alpha 90.00
_cell_angle_beta 90.00
_cell_angle_gamma 90.00
_symmetry_space_group_name_H-M 'I 4 m m'
_symmetry_Int_Tables_number 107
_symmetry_space_group_name_Hall 'I 4 -2'
loop_
_atom_site_label
_atom_site_fract_x
_atom_site_fract_y
_atom_site_fract_z
K1 0.000 0.000 0.000
Pt1 0.000 0.000 0.673
Au1 0.000 0.000 0.313
# DFT formation energy	0.1657	eV per atom

[6]
# Sc8Ni2Sn, relaxed, DFT PBE-GGA
data_Sc8Ni2Sn
_chemical_formula_sum 'Sc16 Ni4 Sn2'
_cell_length_a 8.195
_cell_length_b 12.488
_cell_length_c 4.830
_cell_angle_alpha 90.00
_cell_angle_beta 104.11
_cell_angle_gamma 90.00
_symmetry_space_group_name_H-M 'C 1 2/m 1'
_symmetry_Int_Tables_number 12
loop_
_symmetry_equiv_pos_as_xyz
'x,y,z'
'-x,-y,-z'
'-x,y,-z'
'x,-y,z'
'x+1/2,y+1/2,z'
'-x+1/2,-y+1/2,-z'
'-x+1/2,y+1/2,-z'
'x+1/2,-y+1/2,z'
loop_
_atom_site_label
_atom_site_fract_x
_atom_site_fract_y
_atom_site_fract_z
Sc1 0.000 0.250 0.000
Sc2 0.108 0.000 0.801
Sc3 0.202 0.372 0.578
Ni1 0.000 0.189 0.500
Sn1 0.000 0.500 0.000
# DFT formation energy	-0.2782	eV per atom

- Which formula does entry 3 have?
  Ac2DyPaN5